No. 1
First-principles (PBE) data for a relaxed AcLa3Zn2 crystal, as listed in Alexandria via LeMat-Bulk. Values from VASP.

Structure (Quantum ESPRESSO input):
```
&SYSTEM
  ibrav = 0, nat = 6, ntyp = 3
/
ATOMIC_SPECIES
Ac 227.00 Ac.upf
La 138.91 La.upf
Zn 65.41 Zn.upf
ATOMIC_POSITIONS crystal
Ac 0.500 0.500 0.500
La 0.000 0.000 0.283
La 0.000 0.000 0.717
Zn 0.500 0.500 0.143
La 0.000 0.000 0.000
Zn 0.500 0.500 0.857
CELL_PARAMETERS angstrom
3.807 0.000 0.000
0.000 3.807 0.000
0.000 0.000 12.933
```

The space-group type is P4/mmm, No. 123. The total energy is -3.783 eV/atom.

=====

No. 2
First-principles (PBE) data for a relaxed La2TlCr crystal, as listed in Alexandria via LeMat-Bulk. Values from VASP.

Structure (Quantum ESPRESSO input):
```
&SYSTEM
  ibrav = 0, nat = 4, ntyp = 3
/
ATOMIC_SPECIES
Tl 204.38 Tl.upf
La 138.91 La.upf
Cr 52.00 Cr.upf
ATOMIC_POSITIONS crystal
Tl 0.500 0.500 0.500
La 0.250 0.250 0.250
La 0.750 0.750 0.750
Cr 0.000 0.000 0.000
CELL_PARAMETERS angstrom
0.000 3.899 3.899
3.899 0.000 3.899
3.899 3.899 0.000
```

The space-group type is Fm-3m, No. 225. The total energy is -5.420 eV/atom.

=====

No. 3
First-principles (PBE) data for a relaxed Nd2ScCu crystal, as listed in Alexandria via LeMat-Bulk. Values from VASP.

Structure (Quantum ESPRESSO input):
```
&SYSTEM
  ibrav = 0, nat = 4, ntyp = 3
/
ATOMIC_SPECIES
Cu 63.55 Cu.upf
Nd 144.24 Nd.upf
Sc 44.96 Sc.upf
ATOMIC_POSITIONS crystal
Cu 0.500 0.500 0.000
Nd 0.000 0.000 0.784
Nd 0.000 0.000 0.216
Sc 0.500 0.500 0.500
CELL_PARAMETERS angstrom
3.618 0.000 0.000
0.000 3.618 0.000
0.000 0.000 8.128
```

The space-group type is P4/mmm, No. 123. The total energy is -5.011 eV/atom.

=====

No. 4
First-principles (PBE) data for a relaxed CeIn4Pt4 crystal, as listed in Alexandria via LeMat-Bulk. Values from VASP.

Structure (Quantum ESPRESSO input):
```
&SYSTEM
  ibrav = 0, nat = 18, ntyp = 3
/
ATOMIC_SPECIES
Pt 195.08 Pt.upf
In 114.82 In.upf
Ce 140.12 Ce.upf
ATOMIC_POSITIONS crystal
Pt 0.593 0.785 0.366
In 0.403 0.657 0.105
In 0.597 0.105 0.343
Ce 0.000 0.000 0.000
In 0.097 0.843 0.395
Pt 0.593 0.215 0.634
In 0.903 0.605 0.843
In 0.903 0.395 0.157
Pt 0.907 0.285 0.866
Pt 0.907 0.715 0.134
In 0.097 0.157 0.605
In 0.597 0.895 0.657
Pt 0.093 0.134 0.285
In 0.403 0.343 0.895
Pt 0.093 0.866 0.715
Pt 0.407 0.366 0.215
Pt 0.407 0.634 0.785
Ce 0.500 0.500 0.500
CELL_PARAMETERS angstrom
5.390 0.000 0.000
0.000 8.903 0.000
0.000 0.000 8.903
```

The space-group type is P4_2/n, No. 86. The total energy is -5.073 eV/atom.

=====

No. 5
First-principles (PBE) data for a relaxed Ba2Sn4PtAu3 crystal, as listed in Alexandria via LeMat-Bulk. Values from VASP.

Structure (Quantum ESPRESSO input):
```
&SYSTEM
  ibrav = 0, nat = 10, ntyp = 4
/
ATOMIC_SPECIES
Au 196.97 Au.upf
Sn 118.71 Sn.upf
Pt 195.08 Pt.upf
Ba 137.33 Ba.upf
ATOMIC_POSITIONS crystal
Au 0.000 0.000 0.500
Sn 0.000 0.000 0.000
Sn 0.500 0.500 0.000
Au 0.500 0.000 0.865
Pt 0.500 0.500 0.500
Sn 0.000 0.500 0.385
Au 0.000 0.500 0.135
Ba 0.000 0.500 0.740
Sn 0.500 0.000 0.615
Ba 0.500 0.000 0.260
CELL_PARAMETERS angstrom
-0.422 4.439 -2.007
-4.720 0.126 1.270
2.744 4.663 9.735
```

The space-group type is P-4m2, No. 115. The total energy is -4.201 eV/atom.

=====

No. 6
First-principles (PBE) data for a relaxed TbCe2Te crystal, as listed in Alexandria via LeMat-Bulk. Values from VASP.

Structure (Quantum ESPRESSO input):
```
&SYSTEM
  ibrav = 0, nat = 4, ntyp = 3
/
ATOMIC_SPECIES
Ce 140.12 Ce.upf
Te 127.60 Te.upf
Tb 158.93 Tb.upf
ATOMIC_POSITIONS crystal
Ce 0.000 0.500 0.000
Te 0.500 0.500 0.500
Tb 0.500 0.000 0.000
Ce 0.000 0.000 0.500
CELL_PARAMETERS angstrom
-3.898 3.104 0.941
-2.428 -3.531 1.590
1.628 0.772 4.201
```

The space-group type is P4/mmm, No. 123. The total energy is -5.439 eV/atom. The uncorrected formation energy comes out at -0.529 eV/atom.

=====

No. 7
First-principles (PBE) data for a relaxed OsRh4W crystal, as listed in Alexandria via LeMat-Bulk. Values from VASP.

Structure (Quantum ESPRESSO input):
```
&SYSTEM
  ibrav = 0, nat = 12, ntyp = 3
/
ATOMIC_SPECIES
Rh 102.91 Rh.upf
Os 190.23 Os.upf
W 183.84 W.upf
ATOMIC_POSITIONS crystal
Rh 0.844 0.152 0.409
Rh 0.333 0.934 0.089
Os 0.500 0.750 0.588
W 0.000 0.250 0.918
Rh 0.844 0.652 0.591
Rh 0.156 0.848 0.591
Rh 0.667 0.566 0.089
Rh 0.667 0.066 0.911
Rh 0.333 0.434 0.911
Rh 0.156 0.348 0.409
W 0.000 0.750 0.082
Os 0.500 0.250 0.412
CELL_PARAMETERS angstrom
-1.672 -6.728 2.939
3.587 -2.901 -2.219
2.904 0.846 3.588
```

The space-group type is P2/c, No. 13. The total energy is -8.874 eV/atom.

=====

No. 8
First-principles (PBE) data for a relaxed Ce3Cd2Ag4 crystal, as listed in Alexandria via LeMat-Bulk. Values from VASP.

Structure (Quantum ESPRESSO input):
```
&SYSTEM
  ibrav = 0, nat = 9, ntyp = 3
/
ATOMIC_SPECIES
Ag 107.87 Ag.upf
Ce 140.12 Ce.upf
Cd 112.41 Cd.upf
ATOMIC_POSITIONS crystal
Ag 0.944 0.888 0.610
Ce 0.000 0.000 0.000
Ce 0.664 0.328 0.670
Cd 0.384 0.768 0.718
Ag 0.056 0.112 0.390
Cd 0.616 0.232 0.282
Ag 0.276 0.552 0.943
Ce 0.336 0.672 0.330
Ag 0.724 0.448 0.057
CELL_PARAMETERS angstrom
-1.564 3.917 -2.690
-4.234 -2.694 3.190
6.235 5.370 4.193
```

The space-group type is C2/m, No. 12. The total energy is -3.651 eV/atom.

=====

No. 9
First-principles (PBE) data for a relaxed CoBi3B crystal, as listed in Alexandria via LeMat-Bulk. Values from VASP.

Structure (Quantum ESPRESSO input):
```
&SYSTEM
  ibrav = 0, nat = 5, ntyp = 3
/
ATOMIC_SPECIES
Bi 208.98 Bi.upf
Co 58.93 Co.upf
B 10.81 B.upf
ATOMIC_POSITIONS crystal
Bi 0.000 0.500 0.000
Co 0.500 0.500 0.500
B 0.000 0.000 0.000
Bi 0.500 0.000 0.000
Bi 0.000 0.000 0.500
CELL_PARAMETERS angstrom
-2.701 -2.787 3.118
-2.518 -1.879 -3.861
3.338 -3.672 -0.390
```

The space-group type is Pm-3m, No. 221. The total energy is -3.897 eV/atom.

=====

No. 10
First-principles (PBE) data for a relaxed CdAs3 crystal, as listed in Alexandria via LeMat-Bulk. Values from VASP.

Structure (Quantum ESPRESSO input):
```
&SYSTEM
  ibrav = 0, nat = 4, ntyp = 2
/
ATOMIC_SPECIES
As 74.92 As.upf
Cd 112.41 Cd.upf
ATOMIC_POSITIONS crystal
As 0.211 0.211 0.000
As 0.789 0.789 0.000
As 0.000 0.500 0.500
Cd 0.500 0.000 0.500
CELL_PARAMETERS angstrom
-0.838 -3.312 -4.748
-4.043 -4.227 0.030
0.921 5.718 0.816
```

The space-group type is Immm, No. 71. The total energy is -3.440 eV/atom.

=====

No. 11
First-principles (PBE) data for a relaxed ScCuAs4 crystal, as listed in Alexandria via LeMat-Bulk. Values from VASP.

Structure (Quantum ESPRESSO input):
```
&SYSTEM
  ibrav = 0, nat = 6, ntyp = 3
/
ATOMIC_SPECIES
As 74.92 As.upf
Sc 44.96 Sc.upf
Cu 63.55 Cu.upf
ATOMIC_POSITIONS crystal
As 0.376 0.376 0.376
As 0.871 0.376 0.376
As 0.376 0.871 0.376
Sc 0.000 0.000 0.000
Cu 0.750 0.750 0.750
As 0.376 0.376 0.871
CELL_PARAMETERS angstrom
4.874 -1.559 1.956
2.758 3.279 3.414
0.524 -1.362 5.281
```

The space-group type is F-43m, No. 216. The total energy is -4.675 eV/atom.

=====

No. 12
First-principles (PBE) data for a relaxed Er3TiAg3S8 crystal, as listed in Alexandria via LeMat-Bulk. Values from VASP.

Structure (Quantum ESPRESSO input):
```
&SYSTEM
  ibrav = 0, nat = 15, ntyp = 4
/
ATOMIC_SPECIES
S 32.06 S.upf
Ag 107.87 Ag.upf
Er 167.26 Er.upf
Ti 47.87 Ti.upf
ATOMIC_POSITIONS crystal
S 0.233 0.005 0.279
Ag 0.500 0.500 0.000
S 0.772 0.545 0.280
S 0.253 0.506 0.261
Er 0.500 0.000 0.500
Ag 0.000 0.000 0.000
S 0.772 0.005 0.279
S 0.228 0.455 0.720
S 0.747 0.494 0.739
Ag 0.000 0.500 0.000
Er 0.000 0.500 0.500
S 0.228 0.995 0.721
Ti 0.000 0.000 0.500
Er 0.500 0.500 0.500
S 0.767 0.995 0.721
CELL_PARAMETERS angstrom
7.746 0.000 0.000
-3.873 6.708 -0.043
0.000 -4.469 6.400
```

The space-group type is C2/m, No. 12. The total energy is -5.460 eV/atom. The uncorrected formation energy comes out at -1.250 eV/atom.

=====

No. 13
First-principles (PBE) data for a relaxed CdAuS2 crystal, as listed in Alexandria via LeMat-Bulk. Values from VASP.

Structure (Quantum ESPRESSO input):
```
&SYSTEM
  ibrav = 0, nat = 8, ntyp = 3
/
ATOMIC_SPECIES
Cd 112.41 Cd.upf
S 32.06 S.upf
Au 196.97 Au.upf
ATOMIC_POSITIONS crystal
Cd 0.500 0.500 0.000
S 0.875 0.890 0.750
S 0.375 0.360 0.750
Au 0.750 0.250 0.500
Cd 0.250 0.750 0.500
S 0.110 0.625 0.250
S 0.640 0.125 0.250
Au 0.000 0.000 0.000
CELL_PARAMETERS angstrom
-4.884 -0.110 3.116
-1.387 -5.110 -2.355
-0.324 -5.359 4.691
```

The space-group type is I-42d, No. 122. The total energy is -3.257 eV/atom. The uncorrected formation energy comes out at -0.145 eV/atom.

=====

No. 14
First-principles (PBE) data for a relaxed AcCuSi2Au crystal, as listed in Alexandria via LeMat-Bulk. Values from VASP.

Structure (Quantum ESPRESSO input):
```
&SYSTEM
  ibrav = 0, nat = 5, ntyp = 4
/
ATOMIC_SPECIES
Si 28.09 Si.upf
Ac 227.00 Ac.upf
Au 196.97 Au.upf
Cu 63.55 Cu.upf
ATOMIC_POSITIONS crystal
Si 0.620 0.620 0.239
Si 0.380 0.380 0.761
Ac 0.000 0.000 0.000
Au 0.250 0.750 0.500
Cu 0.750 0.250 0.500
CELL_PARAMETERS angstrom
4.377 0.000 0.000
0.000 4.377 0.000
-2.188 -2.188 5.126
```

The space-group type is I-4m2, No. 119. The total energy is -5.022 eV/atom. The uncorrected formation energy comes out at -0.556 eV/atom.

=====

No. 15
First-principles (PBE) data for a relaxed AcRh4 crystal, as listed in Alexandria via LeMat-Bulk. Values from VASP.

Structure (Quantum ESPRESSO input):
```
&SYSTEM
  ibrav = 0, nat = 5, ntyp = 2
/
ATOMIC_SPECIES
Rh 102.91 Rh.upf
Ac 227.00 Ac.upf
ATOMIC_POSITIONS crystal
Rh 0.500 0.500 0.000
Ac 0.500 0.500 0.500
Rh 0.000 0.000 0.000
Rh 0.000 0.500 0.500
Rh 0.500 0.000 0.500
CELL_PARAMETERS angstrom
4.983 0.000 0.000
0.000 4.983 0.000
0.000 0.000 4.983
```

The space-group type is Pm-3m, No. 221. The total energy is -5.053 eV/atom.

=====

No. 16
First-principles (PBE) data for a relaxed AcPrSn2 crystal, as listed in Alexandria via LeMat-Bulk. Values from VASP.

Structure (Quantum ESPRESSO input):
```
&SYSTEM
  ibrav = 0, nat = 4, ntyp = 3
/
ATOMIC_SPECIES
Sn 118.71 Sn.upf
Ac 227.00 Ac.upf
Pr 140.91 Pr.upf
ATOMIC_POSITIONS crystal
Sn 0.999 0.000 0.537
Ac 0.445 0.500 0.427
Pr 0.717 0.000 0.974
Sn 0.170 0.500 0.879
CELL_PARAMETERS angstrom
4.872 0.000 -0.032
0.000 4.500 0.000
-2.394 0.000 6.093
```

The space-group type is Amm2, No. 38. The total energy is -4.953 eV/atom.

=====

No. 17
First-principles (PBE) data for a relaxed PmSm2TeO8 crystal, as listed in Alexandria via LeMat-Bulk. Values from VASP.

Structure (Quantum ESPRESSO input):
```
&SYSTEM
  ibrav = 0, nat = 12, ntyp = 4
/
ATOMIC_SPECIES
O 16.00 O.upf
Pm 145.00 Pm.upf
Te 127.60 Te.upf
Sm 150.36 Sm.upf
ATOMIC_POSITIONS crystal
O 0.480 0.250 0.500
O 0.405 0.199 0.000
O 0.932 0.234 0.206
Pm 0.000 0.000 0.500
O 0.595 0.801 0.000
Te 0.000 0.000 0.000
O 0.068 0.766 0.206
O 0.068 0.766 0.794
O 0.520 0.750 0.500
Sm 0.500 0.500 0.755
Sm 0.500 0.500 0.245
O 0.932 0.234 0.794
CELL_PARAMETERS angstrom
-1.306 1.440 -3.788
-4.938 -0.663 2.000
0.118 6.848 2.562
```

The space-group type is P2/m, No. 10. The total energy is -7.148 eV/atom. The uncorrected formation energy comes out at -2.399 eV/atom.

=====

No. 18
First-principles (PBE) data for a relaxed LiInRh3 crystal, as listed in Alexandria via LeMat-Bulk. Values from VASP.

Structure (Quantum ESPRESSO input):
```
&SYSTEM
  ibrav = 0, nat = 5, ntyp = 3
/
ATOMIC_SPECIES
Rh 102.91 Rh.upf
Li 6.94 Li.upf
In 114.82 In.upf
ATOMIC_POSITIONS crystal
Rh 0.000 0.500 0.000
Li 0.000 0.000 0.000
In 0.500 0.500 0.500
Rh 0.000 0.000 0.500
Rh 0.500 0.000 0.000
CELL_PARAMETERS angstrom
-2.884 0.600 3.005
-2.684 -2.487 -2.079
1.479 -3.342 2.087
```

The space-group type is Pm-3m, No. 221. The total energy is -5.020 eV/atom.

=====

No. 19
First-principles (PBE) data for a relaxed Bi2Se3 crystal, as listed in Alexandria via LeMat-Bulk. Values from VASP.

Structure (Quantum ESPRESSO input):
```
&SYSTEM
  ibrav = 0, nat = 5, ntyp = 2
/
ATOMIC_SPECIES
Se 78.96 Se.upf
Bi 208.98 Bi.upf
ATOMIC_POSITIONS crystal
Se 0.500 0.000 0.374
Bi 0.000 0.000 0.165
Se 0.000 0.000 0.766
Se 0.000 0.500 0.374
Bi 0.500 0.500 0.585
CELL_PARAMETERS angstrom
-4.139 -0.541 2.913
-2.677 -1.458 -4.076
1.695 -6.480 1.205
```

The space-group type is P4mm, No. 99. The total energy is -3.734 eV/atom. The uncorrected formation energy comes out at -0.091 eV/atom.

=====

No. 20
First-principles (PBE) data for a relaxed TbNd6SmDy2 crystal, as listed in Alexandria via LeMat-Bulk. Values from VASP.

Structure (Quantum ESPRESSO input):
```
&SYSTEM
  ibrav = 0, nat = 20, ntyp = 4
/
ATOMIC_SPECIES
Dy 162.50 Dy.upf
Nd 144.24 Nd.upf
Sm 150.36 Sm.upf
Tb 158.93 Tb.upf
ATOMIC_POSITIONS crystal
Dy 0.454 0.803 0.706
Dy 0.954 0.706 0.803
Nd 0.119 0.706 0.491
Sm 0.250 0.408 0.592
Nd 0.685 0.014 0.566
Nd 0.881 0.294 0.509
Tb 0.750 0.028 0.972
Nd 0.445 0.241 0.886
Nd 0.945 0.886 0.241
Nd 0.055 0.114 0.759
Nd 0.815 0.434 0.986
Dy 0.546 0.197 0.294
Nd 0.555 0.759 0.114
Nd 0.381 0.509 0.294
Nd 0.619 0.491 0.706
Dy 0.046 0.294 0.197
Sm 0.750 0.592 0.408
Tb 0.250 0.972 0.028
Nd 0.315 0.986 0.434
Nd 0.185 0.566 0.014
CELL_PARAMETERS angstrom
9.264 -2.100 -2.179
0.819 8.696 -2.041
0.819 -2.361 8.614
```

The space-group type is C2/c, No. 15. The total energy is -4.601 eV/atom.